Here is an optimized crystal structure of Cu4AsOs from the Alexandria database. Energies are from PBE.

Properties
energy of formation = 10.55 kcal/mol of atoms

Structure (POSCAR):
```
Cu4AsOs
1.0
-0.6513 -4.7399 0.6290
0.1800 -1.8926 4.4353
-4.0319 -1.6243 2.0956
Cu As Os
4 1 1
direct
0.6246 0.6246 0.1263
0.6246 0.1263 0.6246
0.6246 0.6246 0.6246
0.1263 0.6246 0.6246
0.0000 0.0000 0.0000
0.2500 0.2500 0.2500
```